Entry 1:
# Y3Pt (GGA-PBE, relaxed)
# Uncorrected energy   -6.63 eV per atom
# Fermi-level density of states   17.78 states/eV/cell
# Energy relative to the elements   -0.271 eV/atom
data_Y3Pt
_cell_length_a 7.356
_cell_length_b 7.356
_cell_length_c 7.356
_cell_angle_alpha 90.00
_cell_angle_beta 90.00
_cell_angle_gamma 90.00
_symmetry_space_group_name_H-M 'P 1'
_symmetry_Int_Tables_number 1
_symmetry_space_group_name_Hall 'P 1'
loop_
_atom_site_label
_atom_site_fract_x
_atom_site_fract_y
_atom_site_fract_z
Y1 0.000 0.000 0.000
Y2 0.000 0.500 0.500
Y3 0.250 0.250 0.250
Y4 0.250 0.250 0.750
Y5 0.250 0.750 0.250
Y6 0.250 0.750 0.750
Y7 0.500 0.000 0.500
Y8 0.500 0.500 0.000
Y9 0.750 0.250 0.250
Y10 0.750 0.250 0.750
Y11 0.750 0.750 0.250
Y12 0.750 0.750 0.750
Pt1 0.000 0.000 0.500
Pt2 0.000 0.500 0.000
Pt3 0.500 0.000 0.000
Pt4 0.500 0.500 0.500

***

Entry 2:
# Na2MnS (GGA-PBE, relaxed)
# Uncorrected energy   -4.13 eV per atom
# Fermi-level density of states   14.20 states/eV/cell
# Uncorrected formation energy   -0.148 eV/atom
data_Na2MnS
_cell_length_a 10.224
_cell_length_b 10.224
_cell_length_c 4.443
_cell_angle_alpha 90.00
_cell_angle_beta 90.00
_cell_angle_gamma 90.00
_symmetry_space_group_name_H-M 'P 1'
_symmetry_Int_Tables_number 1
_symmetry_space_group_name_Hall 'P 1'
loop_
_atom_site_label
_atom_site_fract_x
_atom_site_fract_y
_atom_site_fract_z
Na1 0.101 0.250 0.125
Na2 0.250 0.601 0.375
Na3 0.250 0.899 0.875
Na4 0.399 0.250 0.625
Na5 0.601 0.750 0.625
Na6 0.750 0.101 0.875
Na7 0.750 0.399 0.375
Na8 0.899 0.750 0.125
Mn1 0.000 0.000 0.500
Mn2 0.000 0.500 0.750
Mn3 0.500 0.000 0.250
Mn4 0.500 0.500 0.000
S1 0.000 0.000 0.000
S2 0.000 0.500 0.250
S3 0.500 0.000 0.750
S4 0.500 0.500 0.500

***

Entry 3:
# Nb3SI7 (GGA-PBE, relaxed)
# Uncorrected energy   -4.73 eV per atom
# Uncorrected formation energy   -0.618 eV/atom
data_Nb3SI7
_cell_length_a 16.504
_cell_length_b 12.739
_cell_length_c 8.065
_cell_angle_alpha 90.00
_cell_angle_beta 98.97
_cell_angle_gamma 90.00
_symmetry_space_group_name_H-M 'P 1'
_symmetry_Int_Tables_number 1
_symmetry_space_group_name_Hall 'P 1'
loop_
_atom_site_label
_atom_site_fract_x
_atom_site_fract_y
_atom_site_fract_z
Nb1 0.134 0.000 0.082
Nb2 0.134 0.500 0.582
Nb3 0.282 0.110 0.141
Nb4 0.282 0.390 0.641
Nb5 0.282 0.610 0.645
Nb6 0.282 0.890 0.145
Nb7 0.718 0.110 0.855
Nb8 0.718 0.390 0.355
Nb9 0.718 0.610 0.359
Nb10 0.718 0.890 0.859
Nb11 0.866 0.000 0.918
Nb12 0.866 0.500 0.418
S1 0.238 0.502 0.398
S2 0.238 0.998 0.898
S3 0.762 0.002 0.102
S4 0.762 0.498 0.602
I1 0.021 0.501 0.271
I2 0.021 0.999 0.771
I3 0.133 0.224 0.095
I4 0.133 0.276 0.595
I5 0.133 0.724 0.603
I6 0.133 0.776 0.103
I7 0.225 0.002 0.412
I8 0.225 0.498 0.912
I9 0.358 0.231 0.898
I10 0.358 0.269 0.398
I11 0.359 0.736 0.411
I12 0.359 0.764 0.911
I13 0.433 0.001 0.224
I14 0.433 0.499 0.724
I15 0.567 0.501 0.276
I16 0.567 0.999 0.776
I17 0.641 0.236 0.089
I18 0.641 0.264 0.589
I19 0.642 0.731 0.602
I20 0.642 0.769 0.102
I21 0.775 0.502 0.088
I22 0.775 0.998 0.588
I23 0.867 0.224 0.897
I24 0.867 0.276 0.397
I25 0.867 0.724 0.405
I26 0.867 0.776 0.905
I27 0.979 0.001 0.229
I28 0.979 0.499 0.729

***

Entry 4:
# Ce2Bi2HN (GGA-PBE, relaxed)
# Uncorrected energy   -6.04 eV per atom
# Fermi-level density of states   14.63 states/eV/cell
data_Ce2Bi2HN
_cell_length_a 8.835
_cell_length_b 8.835
_cell_length_c 8.835
_cell_angle_alpha 141.60
_cell_angle_beta 55.44
_cell_angle_gamma 141.59
_symmetry_space_group_name_H-M 'P 1'
_symmetry_Int_Tables_number 1
_symmetry_space_group_name_Hall 'P 1'
loop_
_atom_site_label
_atom_site_fract_x
_atom_site_fract_y
_atom_site_fract_z
Ce1 0.076 0.224 0.301
Ce2 0.424 0.724 0.148
Ce3 0.576 0.276 0.852
Ce4 0.924 0.776 0.699
Bi1 0.192 0.730 0.923
Bi2 0.308 0.230 0.538
Bi3 0.692 0.770 0.462
Bi4 0.808 0.270 0.077
H1 0.250 0.750 0.500
H2 0.750 0.250 0.500
N1 0.250 0.250 0.000
N2 0.750 0.750 0.000

***

Entry 5:
# CaZr2Cl (GGA-PBE, relaxed)
# Relative energy among the computed polymorphs   562 meV/atom
# Uncorrected energy   -5.15 eV per atom
# Fermi-level density of states   4.23 states/eV/cell
# Uncorrected formation energy   0.084 eV/atom
data_CaZr2Cl
_cell_length_a 3.308
_cell_length_b 5.466
_cell_length_c 5.902
_cell_angle_alpha 90.00
_cell_angle_beta 90.00
_cell_angle_gamma 90.00
_symmetry_space_group_name_H-M 'P 1'
_symmetry_Int_Tables_number 1
_symmetry_space_group_name_Hall 'P 1'
loop_
_atom_site_label
_atom_site_fract_x
_atom_site_fract_y
_atom_site_fract_z
Ca1 0.000 0.000 0.000
Zr1 0.500 0.235 0.500
Zr2 0.500 0.765 0.500
Cl1 0.000 0.500 0.000

***

Entry 6:
# DyZrNpO6 (GGA-PBE, relaxed)
# Uncorrected energy   -9.30 eV per atom
# Fermi-level density of states   13.85 states/eV/cell
# Uncorrected formation energy   -3.097 eV/atom
data_DyZrNpO6
_cell_length_a 5.652
_cell_length_b 5.652
_cell_length_c 9.165
_cell_angle_alpha 90.00
_cell_angle_beta 90.00
_cell_angle_gamma 120.00
_symmetry_space_group_name_H-M 'P 1'
_symmetry_Int_Tables_number 1
_symmetry_space_group_name_Hall 'P 1'
loop_
_atom_site_label
_atom_site_fract_x
_atom_site_fract_y
_atom_site_fract_z
Dy1 0.333 0.667 0.250
Dy2 0.667 0.333 0.750
Zr1 0.000 0.000 0.000
Zr2 0.000 0.000 0.500
Np1 0.333 0.667 0.750
Np2 0.667 0.333 0.250
O1 0.019 0.332 0.627
O2 0.019 0.687 0.873
O3 0.313 0.332 0.873
O4 0.313 0.981 0.627
O5 0.332 0.019 0.127
O6 0.332 0.313 0.373
O7 0.668 0.687 0.627
O8 0.668 0.981 0.873
O9 0.687 0.019 0.373
O10 0.687 0.668 0.127
O11 0.981 0.313 0.127
O12 0.981 0.668 0.373

***

What did the sixth record say?
# DyZrNpO6 (GGA-PBE, relaxed)
# Uncorrected energy   -9.30 eV per atom
# Fermi-level density of states   13.85 states/eV/cell
# Uncorrected formation energy   -3.097 eV/atom
data_DyZrNpO6
_cell_length_a 5.652
_cell_length_b 5.652
_cell_length_c 9.165
_cell_angle_alpha 90.00
_cell_angle_beta 90.00
_cell_angle_gamma 120.00
_symmetry_space_group_name_H-M 'P 1'
_symmetry_Int_Tables_number 1
_symmetry_space_group_name_Hall 'P 1'
loop_
_atom_site_label
_atom_site_fract_x
_atom_site_fract_y
_atom_site_fract_z
Dy1 0.333 0.667 0.250
Dy2 0.667 0.333 0.750
Zr1 0.000 0.000 0.000
Zr2 0.000 0.000 0.500
Np1 0.333 0.667 0.750
Np2 0.667 0.333 0.250
O1 0.019 0.332 0.627
O2 0.019 0.687 0.873
O3 0.313 0.332 0.873
O4 0.313 0.981 0.627
O5 0.332 0.019 0.127
O6 0.332 0.313 0.373
O7 0.668 0.687 0.627
O8 0.668 0.981 0.873
O9 0.687 0.019 0.373
O10 0.687 0.668 0.127
O11 0.981 0.313 0.127
O12 0.981 0.668 0.373